# 1
Below is an optimized crystal structure of Ti3GaAg, with properties calculated at the GGA-PBE level.

total DFT energy (no corrections): -0.3853 Ry/atom
energy above the lowest structure with this stoichiometry: 0 meV/atom
formation energy from the elements: 0.670 eV per atom

a b c (Å): 4.714 4.714 4.714
angles (deg): 90.00 90.00 90.00
Space group Pm-3m (No. 221)
Inequivalent atoms, fractional coordinates:
Ti 0.000 0.000 0.500 [3 per cell]
Ga 0.000 0.000 0.000 [1 per cell]
Ag 0.500 0.500 0.500 [1 per cell]

---

# 2
Below is an optimized crystal structure of TiGaAg, with properties calculated at the GGA-PBE level.

total DFT energy (no corrections): -0.3488 Ry/atom
formation energy from the elements: -0.155 eV per atom

a b c (Å): 6.015 3.966 8.384
angles (deg): 90.00 90.00 90.00
Space group Pnma (No. 62)
Inequivalent atoms, fractional coordinates:
Ti 0.128 0.250 0.091 [4 per cell]
Ga 0.114 0.250 0.753 [4 per cell]
Ag 0.132 0.250 0.421 [4 per cell]

---

# 3
Below is an optimized crystal structure of TiGaAg, with properties calculated at the GGA-PBE level.

total DFT energy (no corrections): -0.3497 Ry/atom
formation energy from the elements: -0.167 eV per atom

a b c (Å): 4.848 2.903 7.294
angles (deg): 90.00 101.71 90.00
Space group P2/m (No. 10)
Inequivalent atoms, fractional coordinates:
Ti 0.230 0.000 0.143 [2 per cell]
Ga 0.268 0.500 0.825 [2 per cell]
Ag 0.000 0.000 0.500 [1 per cell]
Ag 0.500 0.500 0.500 [1 per cell]

---

# 4
Below is an optimized crystal structure of TiGaAg, with properties calculated at the GGA-PBE level.

total DFT energy (no corrections): -0.3292 Ry/atom
formation energy from the elements: 0.113 eV per atom

a b c (Å): 3.914 3.914 6.943
angles (deg): 90.00 90.00 90.00
Space group P4/nmm (No. 129, origin choice 2)
Inequivalent atoms, fractional coordinates:
Ti 0.250 0.250 0.155 [2 per cell]
Ga 0.250 0.750 0.500 [2 per cell]
Ag 0.250 0.250 0.768 [2 per cell]

---

# 5
Below is an optimized crystal structure of Ti2GaAg2, with properties calculated at the GGA-PBE level.

total DFT energy (no corrections): -0.3506 Ry/atom
energy above the lowest structure with this stoichiometry: 0 meV/atom
formation energy from the elements: 0.133 eV per atom

a b c (Å): 7.361 7.361 3.283
angles (deg): 90.00 90.00 90.00
Space group P4/mbm (No. 127)
Inequivalent atoms, fractional coordinates:
Ti 0.168 0.332 0.000 [4 per cell]
Ga 0.000 0.000 0.500 [2 per cell]
Ag 0.131 0.631 0.500 [4 per cell]

---

# 6
Below is an optimized crystal structure of TiGaAg2, with properties calculated at the GGA-PBE level.

total DFT energy (no corrections): -0.2847 Ry/atom
formation energy from the elements: 0.283 eV per atom

a b c (Å): 7.436 7.436 5.443
angles (deg): 90.00 90.00 90.00
Space group I-42d (No. 122)
Inequivalent atoms, fractional coordinates:
Ti 0.000 0.000 0.000 [4 per cell]
Ga 0.000 0.000 0.500 [4 per cell]
Ag 0.230 0.250 0.625 [8 per cell]

---

# 7
Below is an optimized crystal structure of TiGaAg, with properties calculated at the GGA-PBE level.

total DFT energy (no corrections): -0.3519 Ry/atom
formation energy from the elements: -0.197 eV per atom

a b c (Å): 3.768 4.123 6.751
angles (deg): 90.00 106.18 90.00
Space group P2/m (No. 10)
Inequivalent atoms, fractional coordinates:
Ti 0.174 0.000 0.347 [2 per cell]
Ga 0.328 0.500 0.657 [2 per cell]
Ag 0.000 0.500 0.000 [1 per cell]
Ag 0.500 0.000 0.000 [1 per cell]

---

# 8
Below is an optimized crystal structure of Ti5Ga3Ag, with properties calculated at the GGA-PBE level.

total DFT energy (no corrections): -0.4448 Ry/atom
formation energy from the elements: -0.340 eV per atom

a b c (Å): 7.8994 7.8994 5.4403
angles (deg): 90.00 90.00 120.00
Space group P6_3/mcm (No. 193)
Inequivalent atoms, fractional coordinates:
Ti 0.0000 0.3267 0.2500 [6 per cell]
Ti 0.3333 0.6667 0.0000 [4 per cell]
Ga 0.0000 0.3454 0.7500 [6 per cell]
Ag 0.0000 0.0000 0.0000 [2 per cell]